The following is a PBE-GGA calculation of a relaxed RbBaHg crystal, from the Open Quantum Materials Database.

E_tot, eV per atom: -1.18
Mass density, g/cm³: 4.56

Lattice parameters (Å, degrees): 6.0177 6.0177 6.0177 60.00 60.00 60.00
With the nearest neighbours (Å) after each atom.
Atoms (fractional coordinates):
Ba 0.2500 0.2500 0.2500  4 Hg 3.69
Hg 0.0000 0.0000 0.0000  4 Ba 3.69, 4 Rb 3.69
Rb 0.7500 0.7500 0.7500  4 Hg 3.69